1.
The following is a PBEsol calculation of MgCd2Pt after structural relaxation, from Alexandria.

Unit cell a=4.649 b=4.649 c=4.649 alpha=60.00 beta=60.00 gamma=60.00
Fractional positions:
Mg 0.000 0.000 0.000
Cd 0.250 0.250 0.250
Cd 0.500 0.500 0.500
Pt 0.750 0.750 0.750

Its final energy is -3.1025 eV per atom. The calculation puts the density of states at the Fermi level at 1.19 states/eV/cell.

---

2.
The following is a PBEsol calculation of NaPbS2Cl after structural relaxation, from Alexandria.

Unit cell a=4.827 b=4.827 c=5.041 alpha=90.00 beta=90.00 gamma=90.00
Fractional positions:
Na 0.000 0.000 0.000
Pb 0.500 0.500 0.500
S 0.000 0.500 0.000
S 0.500 0.000 0.000
Cl 0.000 0.000 0.500

The calculation puts the density of states at the Fermi level at 4.64 states/eV/cell. The uncorrected formation energy is 0.0031 eV per atom.

---

Among the records above, which one has the highest density of states at the Fermi level? NaPbS2Cl